# PBE Mn2V2Cr7, optimized geometry
# ΔH_f (0 K) = 0.180 eV/atom
data_Mn2V2Cr7
_cell_length_a 4.6455
_cell_length_b 4.6455
_cell_length_c 6.9766
_cell_angle_alpha 89.80
_cell_angle_beta 89.80
_cell_angle_gamma 115.88
_symmetry_space_group_name_H-M 'P 1'
_symmetry_Int_Tables_number 1
_symmetry_space_group_name_Hall 'P 1'
loop_
_atom_site_label
_atom_site_type_symbol
_atom_site_fract_x
_atom_site_fract_y
_atom_site_fract_z
_atom_site_occupancy
Cr1 Cr 0.9203 0.4200 0.8392 1
Cr2 Cr 0.4200 0.9203 0.8392 1
Cr3 Cr 0.5800 0.0797 0.1608 1
Cr4 Cr 0.6597 0.6597 0.3177 1
Cr5 Cr 0.0000 0.0000 0.0000 1
Cr6 Cr 0.3403 0.3403 0.6823 1
Cr7 Cr 0.0797 0.5800 0.1608 1
Mn1 Mn 0.8309 0.8309 0.6676 1
Mn2 Mn 0.1691 0.1691 0.3324 1
V1 V 0.2472 0.7528 0.5000 1
V2 V 0.7528 0.2472 0.5000 1